# BeV6Ge3 GGA-PBE optimized geometry
# DFT formation energy in eV/atom: -0.01
# Magnetic moment in μB/f.u.: 0.0
# ρ in g cm⁻³: 6.107
data_BeV6Ge3
_cell_length_a 7.807
_cell_length_b 12.204
_cell_length_c 6.080
_cell_angle_alpha 90.00
_cell_angle_beta 90.00
_cell_angle_gamma 90.00
_symmetry_space_group_name_H-M 'C m c 21'
_symmetry_Int_Tables_number 36
_symmetry_space_group_name_Hall 'C 2c -2'
loop_
_atom_site_label
_atom_site_fract_x
_atom_site_fract_y
_atom_site_fract_z
Be1 0.000 0.174 0.000
V1 0.000 0.057 0.662
V2 0.000 0.272 0.416
V3 0.189 0.436 0.458
V4 0.219 0.208 0.678
Ge1 0.000 0.406 0.098
Ge2 0.181 0.107 0.314